Material: TlCrAu3
Method: DFT, GGA-PBE
State: relaxed

## Properties
energy of formation: 0.74 eV/atom
total magnetization: 0.0 μB per formula unit
offset from the most stable computed form: 0.000 eV per atom

Cell lengths 4.946, 4.946, 4.946 Å; angles 90.00, 90.00, 90.00 degrees
Space group Pm-3m (No. 221)
Unique sites:
1 Tl 0.000 0.000 0.000 (multiplicity 1)
2 Cr 0.500 0.500 0.500 (multiplicity 1)
3 Au 0.000 0.500 0.500 (multiplicity 3)

***

Material: B5C7
Method: DFT, GGA-PBE
State: relaxed

## Properties
energy of formation: 0.37 eV/atom
total magnetization: 0.0 μB per formula unit
offset from the most stable computed form: 0.108 eV per atom

Cell lengths 8.573, 2.608, 7.915 Å; angles 90.00, 117.35, 90.00 degrees
Space group Cm (No. 8)
Unique sites:
1 B 0.000 0.000 0.000 (multiplicity 2)
2 B 0.002 0.000 0.450 (multiplicity 2)
3 B 0.156 0.000 0.903 (multiplicity 2)
4 B 0.162 0.500 0.295 (multiplicity 2)
5 B 0.346 0.500 0.746 (multiplicity 2)
6 C 0.011 0.500 0.594 (multiplicity 2)
7 C 0.170 0.500 0.783 (multiplicity 2)
8 C 0.182 0.000 0.434 (multiplicity 2)
9 C 0.320 0.000 0.138 (multiplicity 2)
10 C 0.331 0.500 0.249 (multiplicity 2)
11 C 0.344 0.000 0.614 (multiplicity 2)
12 C 0.482 0.000 0.095 (multiplicity 2)

***

Material: HfAlAs3
Method: DFT, GGA-PBE
State: relaxed

## Properties
energy of formation: 0.50 eV/atom
total magnetization: 0.0 μB per formula unit
offset from the most stable computed form: 0.193 eV per atom

Cell lengths 4.773, 4.773, 4.773 Å; angles 90.00, 90.00, 90.00 degrees
Space group Pm-3m (No. 221)
Unique sites:
1 Hf 0.000 0.000 0.000 (multiplicity 1)
2 Al 0.500 0.500 0.500 (multiplicity 1)
3 As 0.000 0.500 0.500 (multiplicity 3)

***

Material: AcLa15Y4
Method: DFT, GGA-PBE
State: relaxed

## Properties
energy of formation: 0.01 eV/atom
total magnetization: 0.0 μB per formula unit

Cell lengths 5.251, 5.251, 26.296 Å; angles 90.00, 90.00, 90.00 degrees
Space group P4/mmm (No. 123)
Unique sites:
1 Ac 0.000 0.000 0.000 (multiplicity 1)
2 La 0.000 0.500 0.104 (multiplicity 4)
3 La 0.000 0.500 0.302 (multiplicity 4)
4 La 0.000 0.500 0.500 (multiplicity 2)
5 La 0.500 0.500 0.000 (multiplicity 1)
6 La 0.500 0.500 0.204 (multiplicity 2)
7 La 0.500 0.500 0.401 (multiplicity 2)
8 Y 0.000 0.000 0.204 (multiplicity 2)
9 Y 0.000 0.000 0.401 (multiplicity 2)